# KNp4S6 PBE-GGA optimized geometry
data_KNp4S6
_chemical_formula_sum 'K4 Np16 S24'
_symmetry_space_group_name_H-M 'C m c m'
_symmetry_Int_Tables_number 63
_symmetry_space_group_name_Hall '-C 2c 2'
_cell_length_a 3.984
_cell_length_b 13.176
_cell_length_c 20.458
_cell_angle_alpha 90.00
_cell_angle_beta 90.00
_cell_angle_gamma 90.00
loop_
_atom_site_label
_atom_site_fract_x
_atom_site_fract_y
_atom_site_fract_z
K1 0.000 0.159 0.250
Np1 0.000 0.098 0.628
Np2 0.000 0.365 0.541
S1 0.000 0.000 0.000
S2 0.000 0.159 0.750
S3 0.000 0.269 0.081
S4 0.000 0.466 0.654
# Spin magnetization, μB per formula unit: 16.53
# ΔE to the lowest computed polymorph, eV/f.u.: 0.00

***

# K3Np4S8 PBE-GGA optimized geometry
data_K3Np4S8
_chemical_formula_sum 'K6 Np8 S16'
_symmetry_space_group_name_H-M 'C 1 2/m 1'
_symmetry_Int_Tables_number 12
_symmetry_space_group_name_Hall '-C 2y'
_cell_length_a 11.665
_cell_length_b 11.801
_cell_length_c 8.185
_cell_angle_alpha 90.00
_cell_angle_beta 133.35
_cell_angle_gamma 90.00
loop_
_atom_site_label
_atom_site_fract_x
_atom_site_fract_y
_atom_site_fract_z
K1 0.000 0.000 0.000
K2 0.250 0.250 0.000
Np1 0.000 0.500 0.000
Np2 0.000 0.500 0.500
Np3 0.250 0.250 0.500
S1 0.000 0.267 0.000
S2 0.000 0.271 0.500
S3 0.201 0.500 0.946
S4 0.227 0.500 0.474
# Spin magnetization, μB per formula unit: 8.24

***

# K3Np2S6 PBE-GGA optimized geometry
data_K3Np2S6
_chemical_formula_sum 'K6 Np4 S12'
_symmetry_space_group_name_H-M 'I 4/m m m'
_symmetry_Int_Tables_number 139
_symmetry_space_group_name_Hall '-I 4 2'
_cell_length_a 5.172
_cell_length_b 5.172
_cell_length_c 25.612
_cell_angle_alpha 90.00
_cell_angle_beta 90.00
_cell_angle_gamma 90.00
loop_
_atom_site_label
_atom_site_fract_x
_atom_site_fract_y
_atom_site_fract_z
K1 0.000 0.000 0.000
K2 0.000 0.000 0.182
Np1 0.000 0.000 0.403
S1 0.000 0.000 0.308
S2 0.000 0.500 0.083
# Spin magnetization, μB per formula unit: 5.00

***

# KNpS PBE-GGA optimized geometry
data_KNpS
_chemical_formula_sum 'K4 Np4 S4'
_symmetry_space_group_name_H-M 'C 1 2/m 1'
_symmetry_Int_Tables_number 12
_symmetry_space_group_name_Hall '-C 2y'
_cell_length_a 9.005
_cell_length_b 3.516
_cell_length_c 12.017
_cell_angle_alpha 90.00
_cell_angle_beta 105.20
_cell_angle_gamma 90.00
loop_
_atom_site_label
_atom_site_fract_x
_atom_site_fract_y
_atom_site_fract_z
K1 0.187 0.000 0.173
Np1 0.158 0.500 0.467
S1 0.082 0.000 0.638
# Spin magnetization, μB per formula unit: 1.30

***

# KNpS4 PBE-GGA optimized geometry
data_KNpS4
_chemical_formula_sum 'K4 Np4 S16'
_symmetry_space_group_name_H-M 'C 1 2/m 1'
_symmetry_Int_Tables_number 12
_symmetry_space_group_name_Hall '-C 2y'
_cell_length_a 14.395
_cell_length_b 7.281
_cell_length_c 7.336
_cell_angle_alpha 90.00
_cell_angle_beta 90.84
_cell_angle_gamma 90.00
loop_
_atom_site_label
_atom_site_fract_x
_atom_site_fract_y
_atom_site_fract_z
K1 0.173 0.000 0.146
Np1 0.037 0.500 0.257
S1 0.000 0.266 0.000
S2 0.071 0.253 0.521
S3 0.204 0.500 0.214
# Spin magnetization, μB per formula unit: 2.00

***

# K2Np2S5 PBE-GGA optimized geometry
data_K2Np2S5
_chemical_formula_sum 'K8 Np8 S20'
_symmetry_space_group_name_H-M 'C m c e'
_symmetry_Int_Tables_number 64
_symmetry_space_group_name_Hall '-C 2ac 2'
_cell_length_a 15.480
_cell_length_b 7.554
_cell_length_c 7.562
_cell_angle_alpha 90.00
_cell_angle_beta 90.00
_cell_angle_gamma 90.00
loop_
_atom_site_label
_atom_site_fract_x
_atom_site_fract_y
_atom_site_fract_z
K1 0.206 0.000 0.000
Np1 0.000 0.163 0.337
S1 0.000 0.000 0.000
S2 0.111 0.145 0.645
# Spin magnetization, μB per formula unit: 6.00

***

# KNp4S6 PBE-GGA optimized geometry
data_KNp4S6
_chemical_formula_sum 'K2 Np8 S12'
_symmetry_space_group_name_H-M 'I -4 2 m'
_symmetry_Int_Tables_number 121
_symmetry_space_group_name_Hall 'I -4 2'
_cell_length_a 7.600
_cell_length_b 7.600
_cell_length_c 9.640
_cell_angle_alpha 90.00
_cell_angle_beta 90.00
_cell_angle_gamma 90.00
loop_
_atom_site_label
_atom_site_fract_x
_atom_site_fract_y
_atom_site_fract_z
K1 0.000 0.000 0.000
Np1 0.184 0.184 0.594
S1 0.000 0.500 0.000
S2 0.152 0.152 0.301
# Spin magnetization, μB per formula unit: 16.99
# ΔE to the lowest computed polymorph, eV/f.u.: 3.69

***

# K2NpS4 PBE-GGA optimized geometry
data_K2NpS4
_chemical_formula_sum 'K4 Np2 S8'
_symmetry_space_group_name_H-M 'I 4/m m m'
_symmetry_Int_Tables_number 139
_symmetry_space_group_name_Hall '-I 4 2'
_cell_length_a 5.152
_cell_length_b 5.152
_cell_length_c 15.965
_cell_angle_alpha 90.00
_cell_angle_beta 90.00
_cell_angle_gamma 90.00
loop_
_atom_site_label
_atom_site_fract_x
_atom_site_fract_y
_atom_site_fract_z
K1 0.000 0.000 0.143
Np1 0.000 0.000 0.500
S1 0.000 0.000 0.347
S2 0.000 0.500 0.000
# Spin magnetization, μB per formula unit: 0.98
# ΔE to the lowest computed polymorph, eV/f.u.: 0.00

***

# KNp2S3 PBE-GGA optimized geometry
data_KNp2S3
_chemical_formula_sum 'K2 Np4 S6'
_symmetry_space_group_name_H-M 'P m c 21'
_symmetry_Int_Tables_number 26
_symmetry_space_group_name_Hall 'P 2c -2'
_cell_length_a 3.528
_cell_length_b 10.769
_cell_length_c 7.411
_cell_angle_alpha 90.00
_cell_angle_beta 90.00
_cell_angle_gamma 90.00
loop_
_atom_site_label
_atom_site_fract_x
_atom_site_fract_y
_atom_site_fract_z
K1 0.000 0.119 0.000
Np1 0.000 0.296 0.531
Np2 0.500 0.456 0.544
S1 0.000 0.401 0.855
S2 0.500 0.119 0.608
S3 0.500 0.318 0.238
# Spin magnetization, μB per formula unit: 1.57

***

# K3Np3SbS8 PBE-GGA optimized geometry
data_K3Np3SbS8
_chemical_formula_sum 'K6 Np6 Sb2 S16'
_symmetry_space_group_name_H-M 'C 1 2/m 1'
_symmetry_Int_Tables_number 12
_symmetry_space_group_name_Hall '-C 2y'
_cell_length_a 14.107
_cell_length_b 8.145
_cell_length_c 8.770
_cell_angle_alpha 90.00
_cell_angle_beta 122.48
_cell_angle_gamma 90.00
loop_
_atom_site_label
_atom_site_fract_x
_atom_site_fract_y
_atom_site_fract_z
K1 0.000 0.000 0.000
K2 0.250 0.250 0.000
Np1 0.000 0.500 0.500
Np2 0.250 0.250 0.500
Sb1 0.000 0.000 0.500
S1 0.019 0.252 0.305
S2 0.233 0.000 0.695
S3 0.233 0.500 0.698
# Spin magnetization, μB per formula unit: 11.00

***

# K2NpSbS5 PBE-GGA optimized geometry
data_K2NpSbS5
_chemical_formula_sum 'K8 Np4 Sb4 S20'
_symmetry_space_group_name_H-M 'C m c 21'
_symmetry_Int_Tables_number 36
_symmetry_space_group_name_Hall 'C 2c -2'
_cell_length_a 4.180
_cell_length_b 17.464
_cell_length_c 14.595
_cell_angle_alpha 90.00
_cell_angle_beta 90.00
_cell_angle_gamma 90.00
loop_
_atom_site_label
_atom_site_fract_x
_atom_site_fract_y
_atom_site_fract_z
K1 0.000 0.094 0.000
K2 0.000 0.144 0.644
Np1 0.000 0.217 0.370
Sb1 0.000 0.461 0.776
S1 0.000 0.071 0.396
S2 0.000 0.273 0.983
S3 0.000 0.315 0.751
S4 0.000 0.354 0.329
S5 0.000 0.498 0.119
# Spin magnetization, μB per formula unit: 2.00

***

# K2Np2SbS6 PBE-GGA optimized geometry
data_K2Np2SbS6
_chemical_formula_sum 'K4 Np4 Sb2 S12'
_symmetry_space_group_name_H-M 'C 1 2/m 1'
_symmetry_Int_Tables_number 12
_symmetry_space_group_name_Hall '-C 2y'
_cell_length_a 6.997
_cell_length_b 12.135
_cell_length_c 7.812
_cell_angle_alpha 90.00
_cell_angle_beta 106.72
_cell_angle_gamma 90.00
loop_
_atom_site_label
_atom_site_fract_x
_atom_site_fract_y
_atom_site_fract_z
K1 0.000 0.164 0.000
Np1 0.000 0.334 0.500
Sb1 0.000 0.000 0.500
S1 0.226 0.500 0.695
S2 0.231 0.171 0.694
# Spin magnetization, μB per formula unit: 7.00

***

| no. | formation energy without anion corrections (eV per atom) |
| --- | --- |
| 1 | -1.37 |
| 2 | -1.21 |
| 3 | -1.16 |
| 4 | -0.72 |
| 5 | -0.92 |
| 6 | -1.33 |
| 7 | -1.03 |
| 8 | -1.14 |
| 9 | -1.08 |
| 10 | -1.21 |
| 11 | -0.93 |
| 12 | -1.14 |